NdMnZn11 (PBE, relaxed); total DFT energy (no corrections) = -2.304 eV per atom; N(E_F) = 5.603 states/eV/cell; space group = No. 12; calculated volume = 16.14 Å³ per atom; E_form = -154 meV per atom
1.0
4.8460 0.0188 2.0189
2.3952 6.3558 0.9979
0.0015 0.0094 6.8217
Zn Nd Mn
11 1 1
Direct
0.5000 0.0000 0.5000
0.0000 0.5000 0.0000
0.3682 0.6442 0.6498
0.9820 0.3558 0.6498
0.5021 0.2223 0.7786
0.6318 0.3558 0.3502
0.7193 0.7777 0.7786
0.0000 0.0000 0.5000
0.0180 0.6442 0.3502
0.4979 0.7777 0.2214
0.2807 0.2223 0.2214
0.0000 0.0000 0.0000
0.5000 0.5000 0.0000